Here is SrSiAg2F8 after structural relaxation from Alexandria via LeMat-Bulk. Energies are from PBE.

```
data_SrSiAg2F8
_space_group_name_H-M_alt 'P 1 2/m 1'
_space_group_IT_number 10
_cell_length_a 4.519
_cell_length_b 7.088
_cell_length_c 5.724
_cell_angle_alpha 90.00
_cell_angle_beta 94.34
_cell_angle_gamma 90.00
loop_
_space_group_symop_operation_xyz
'x,y,z'
'-x,-y,-z'
'-x,y,-z'
'x,-y,z'
loop_
_atom_site_label
_atom_site_fract_x
_atom_site_fract_y
_atom_site_fract_z
Sr1 0.000 0.000 0.000
Si1 0.000 0.500 0.000
Ag1 0.500 0.265 0.500
F1 0.139 0.323 0.831
F2 0.313 0.500 0.185
F3 0.465 0.000 0.242
```

Output
E_tot in eV for the cell shown: -58.96
Energy relative to the elements, uncorrected in eV per atom: -2.598
Spin magnetization in μB per formula unit: 0.00
Volume in Å³/cell: 182.8
ρ in Mg/m³: 4.39